No. 1
Material: ReHgCl
Method: DFT, PBE-GGA
State: relaxed

abc: 2.950 2.950 8.068
angles: 90.00 90.00 120.00
Sites, in units of the cell vectors:
Hg 0.333 0.667 0.387
Cl 0.000 0.000 0.918
Re 0.667 0.333 0.695

- Symmetry: P3m1 (156)
- VASP energy: -12.90 eV per formula unit
- Offset from the most stable computed form: 0.0 meV/atom
- Magnetization: 0.00 μB/f.u.
- DOS at the Fermi energy: 1.07 states/eV/cell
- Formation energy without anion corrections: 0.565 eV/atom


No. 2
Material: SrCdTcSn2
Method: DFT, PBE-GGA
State: relaxed

abc: 5.482 5.290 5.482
angles: 90.00 90.00 90.00
Last column: magnetic moment on the atom in μB.
Sites, in units of the cell vectors:
Sn 0.000 0.000 0.500  -0.04
Tc 0.000 0.500 0.000  2.70
Sn 0.500 0.000 0.000  -0.04
Sr 0.500 0.500 0.500  -0.02
Cd 0.000 0.000 0.000  0.01

- Symmetry: P4/mmm (123)
- VASP energy: -17.32 eV per formula unit
- Magnetization: 2.97 μB/f.u.
- DOS at the Fermi energy: 4.34 states/eV/cell


No. 3
Material: Er12Mg5Au3
Method: DFT, PBE-GGA
State: relaxed

abc: 15.157 15.157 15.157
angles: 109.47 109.47 109.47
Sites, in units of the cell vectors:
Er 0.158 0.096 0.732
Mg 0.375 0.125 0.750
Er 0.926 0.562 0.158
Er 0.232 0.658 0.096
Mg 0.250 0.875 0.125
Er 0.658 0.426 0.562
Mg 0.500 0.000 0.000
Er 0.342 0.574 0.438
Mg 0.500 0.000 0.500
Er 0.342 0.768 0.404
Er 0.636 0.074 0.232
Au 0.875 0.125 0.250
Er 0.938 0.842 0.574
Mg 0.125 0.375 0.250
Er 0.732 0.136 0.074
Au 0.250 0.125 0.375
Au 0.750 0.875 0.625
Er 0.842 0.938 0.074
Er 0.636 0.562 0.904
Er 0.096 0.938 0.364
Er 0.562 0.636 0.404
Er 0.438 0.364 0.596
Er 0.232 0.574 0.636
Er 0.074 0.438 0.842
Au 0.875 0.750 0.125
Er 0.268 0.864 0.926
Mg 0.875 0.250 0.625
Er 0.768 0.426 0.364
Er 0.158 0.062 0.926
Au 0.375 0.750 0.625
Er 0.404 0.136 0.562
Au 0.625 0.250 0.375
Mg 0.625 0.875 0.250
Au 0.625 0.375 0.750
Mg 0.000 0.500 0.500
Mg 0.000 0.500 0.000
Mg 0.000 0.000 0.000
Er 0.574 0.342 0.938
Er 0.426 0.658 0.062
Er 0.562 0.926 0.658
Er 0.062 0.158 0.426
Er 0.364 0.926 0.768
Er 0.136 0.732 0.574
Er 0.768 0.342 0.904
Er 0.842 0.904 0.268
Er 0.074 0.636 0.732
Mg 0.875 0.625 0.750
Er 0.658 0.232 0.596
Au 0.125 0.250 0.875
Er 0.864 0.268 0.426
Mg 0.750 0.625 0.375
Mg 0.375 0.250 0.125
Er 0.438 0.074 0.342
Mg 0.250 0.375 0.625
Er 0.596 0.732 0.658
Er 0.096 0.158 0.232
Er 0.904 0.062 0.636
Er 0.938 0.096 0.864
Au 0.750 0.375 0.125
Er 0.404 0.268 0.342
Au 0.375 0.625 0.250
Er 0.268 0.404 0.842
Er 0.364 0.438 0.096
Au 0.125 0.875 0.750
Er 0.426 0.768 0.864
Er 0.136 0.404 0.062
Er 0.062 0.904 0.136
Mg 0.500 0.500 0.000
Mg 0.125 0.750 0.375
Er 0.926 0.364 0.268
Er 0.574 0.232 0.136
Er 0.732 0.596 0.158
Mg 0.625 0.750 0.875
Mg 0.750 0.125 0.875
Mg 0.000 0.000 0.500
Mg 0.500 0.500 0.500
Er 0.596 0.864 0.438
Au 0.250 0.625 0.875
Er 0.904 0.842 0.768
Er 0.864 0.596 0.938

- Symmetry: Ia-3d (230)
- VASP energy: -65.21 eV per formula unit
- Magnetization: 0.00 μB/f.u.
- DOS at the Fermi energy: 91.71 states/eV/cell


No. 4
Material: Ca2CdCoC
Method: DFT, PBE-GGA
State: relaxed

abc: 5.211 5.211 3.655
angles: 90.00 90.00 90.00
Sites, in units of the cell vectors:
Ca 0.500 0.000 0.000
Co 0.000 0.000 0.500
C 0.000 0.000 0.000
Ca 0.000 0.500 0.000
Cd 0.500 0.500 0.500

- Symmetry: P4/mmm (123)
- VASP energy: -21.77 eV per formula unit
- Magnetization: 0.00 μB/f.u.
- DOS at the Fermi energy: 2.21 states/eV/cell